Entry 1:
A geometry-optimized MgFeHgBi structure, computed with PBE-GGA.

Calculated values
volume: 21.4 Å³/atom
total moment: 2.93 Bohr magnetons per cell
theoretical density: 9.52 g/cm³
E: -3.24 eV/atom

Cell: 4.9439 4.9439 4.9439 Å, 60.00 60.00 60.00°
Sites, in units of the cell vectors:
Mg 0.0000 0.0000 0.0000
Fe 0.5000 0.5000 0.5000
Hg 0.7500 0.7500 0.7500
Bi 0.2500 0.2500 0.2500



Entry 2:
A geometry-optimized HfTaNO structure, computed with PBE-GGA.

Calculated values
volume: 11.3 Å³/atom
total moment: 0.00 Bohr magnetons per cell
theoretical density: 14.30 g/cm³
E: -10.15 eV/atom

Cell: 4.5309 4.5309 4.4057 Å, 90.00 90.00 90.00°
Sites, in units of the cell vectors:
Hf 0.2500 0.7500 0.0000
Hf 0.7500 0.2500 0.0000
Ta 0.2500 0.2500 0.4968
Ta 0.7500 0.7500 0.5032
N 0.2500 0.2500 0.9963
N 0.7500 0.7500 0.0037
O 0.2500 0.7500 0.5000
O 0.7500 0.2500 0.5000



Entry 3:
A geometry-optimized Tm2CdS4 structure, computed with PBE-GGA.

Calculated values
volume: 24.8 Å³/atom
total moment: 0.00 Bohr magnetons per cell
theoretical density: 5.54 g/cm³
E: -5.45 eV/atom

Cell: 7.8876 7.8876 7.8876 Å, 60.00 60.00 60.00°
Sites, in units of the cell vectors:
Tm 0.0000 0.0000 0.0000
Tm 0.0000 0.0000 0.5000
Tm 0.0000 0.5000 0.0000
Tm 0.5000 0.0000 0.0000
Cd 0.3750 0.3750 0.3750
Cd 0.6250 0.6250 0.6250
S 0.2255 0.7582 0.7582
S 0.2418 0.2418 0.2418
S 0.2418 0.2418 0.7745
S 0.2418 0.7745 0.2418
S 0.7582 0.2255 0.7582
S 0.7582 0.7582 0.2255
S 0.7582 0.7582 0.7582
S 0.7745 0.2418 0.2418



Entry 4:
A geometry-optimized Tm3Mg3TlAg2 structure, computed with PBE-GGA.

Calculated values
volume: 23.7 Å³/atom
total moment: 0.02 Bohr magnetons per cell
theoretical density: 7.78 g/cm³
E: -3.13 eV/atom

Cell: 7.4322 7.4322 4.4599 Å, 90.00 90.00 120.00°
Sites, in units of the cell vectors:
Tm 0.0000 0.5766 0.0000
Tm 0.4234 0.4234 0.0000
Tm 0.5766 0.0000 0.0000
Mg 0.0000 0.2507 0.5000
Mg 0.2507 0.0000 0.5000
Mg 0.7493 0.7493 0.5000
Tl 0.0000 0.0000 0.0000
Ag 0.3333 0.6667 0.5000
Ag 0.6667 0.3333 0.5000